[1]
# PBE Mg2ZnHg, optimized geometry
# * electronic total energy: -1.206 eV per atom
# * excess energy over the best structure of this formula in the dataset: 52 kJ/mol of formula units
# * calculated formation energy: -0.015 eV/atom
# * space group: F-43m, No. 216
# * size of the total moment: 0.00 μB/f.u.
data_Mg2ZnHg
_chemical_formula_sum 'Mg2 Zn1 Hg1'
_space_group_name_H-M_alt 'P 1'
_space_group_IT_number 1
_space_group_name_Hall 'P 1'
_cell_length_a 4.818
_cell_length_b 4.818
_cell_length_c 4.818
_cell_angle_alpha 60.00
_cell_angle_beta 60.00
_cell_angle_gamma 60.00
loop_
_atom_site_label
_atom_site_type_symbol
_atom_site_fract_x
_atom_site_fract_y
_atom_site_fract_z
_atom_site_occupancy
Hg1 Hg 0.500 0.500 0.500 1
Mg1 Mg 0.000 0.000 0.000 1
Mg2 Mg 0.250 0.250 0.250 1
Zn1 Zn 0.750 0.750 0.750 1

=====

[2]
# PBE MgZnHg, optimized geometry
# * electronic total energy: -1.076 eV per atom
# * excess energy over the best structure of this formula in the dataset: 21 kJ/mol of formula units
# * calculated formation energy: -0.019 eV/atom
# * space group: F-43m, No. 216
# * size of the total moment: 0.00 μB/f.u.
data_MgZnHg
_chemical_formula_sum 'Mg1 Zn1 Hg1'
_space_group_name_H-M_alt 'P 1'
_space_group_IT_number 1
_space_group_name_Hall 'P 1'
_cell_length_a 4.527
_cell_length_b 4.527
_cell_length_c 4.527
_cell_angle_alpha 60.00
_cell_angle_beta 60.00
_cell_angle_gamma 60.00
loop_
_atom_site_label
_atom_site_type_symbol
_atom_site_fract_x
_atom_site_fract_y
_atom_site_fract_z
_atom_site_occupancy
Hg1 Hg 0.000 0.000 0.000 1
Mg1 Mg 0.500 0.500 0.500 1
Zn1 Zn 0.750 0.750 0.750 1

=====

[3]
# PBE MgZnHg, optimized geometry
# * electronic total energy: -1.132 eV per atom
# * excess energy over the best structure of this formula in the dataset: 5 kJ/mol of formula units
# * calculated formation energy: -0.075 eV/atom
# * space group: Imm2, No. 44
# * size of the total moment: 0.00 μB/f.u.
data_MgZnHg
_chemical_formula_sum 'Mg1 Zn1 Hg1'
_space_group_name_H-M_alt 'P 1'
_space_group_IT_number 1
_space_group_name_Hall 'P 1'
_cell_length_a 5.006
_cell_length_b 5.006
_cell_length_c 5.006
_cell_angle_alpha 137.29
_cell_angle_beta 135.11
_cell_angle_gamma 63.69
loop_
_atom_site_label
_atom_site_type_symbol
_atom_site_fract_x
_atom_site_fract_y
_atom_site_fract_z
_atom_site_occupancy
Mg1 Mg 0.333 0.333 0.000 1
Zn1 Zn 0.666 0.666 0.000 1
Hg1 Hg 0.000 0.000 0.000 1